Here is a geometry-optimized TmTcAs2 structure from the Alexandria database. Energies are from PBE-GGA.

Summary:
The spin magnetization comes out at 0.00 μB/cell. For the formation energy, the calculation gives 5.2 kcal/mol of atoms. Its space group is R-3m (166). Its crystal system is trigonal.

Cell lengths 9.846, 9.846, 9.846 Å; angles 17.78, 17.78, 17.78 degrees
Element x y z (fractional)
Tm 0.000 0.000 0.000
Tc 0.500 0.500 0.500
As 0.416 0.416 0.416
As 0.584 0.584 0.584